# ZnGaFe (PBE-GGA, relaxed)
data_ZnGaFe
_space_group_name_H-M_alt 'I m m m'
_space_group_IT_number 71
_space_group_name_Hall '-I 2 2'
_cell_length_a 2.6637
_cell_length_b 5.1509
_cell_length_c 12.3665
_cell_angle_alpha 90.00
_cell_angle_beta 90.00
_cell_angle_gamma 90.00
loop_
_atom_site_label
_atom_site_type_symbol
_atom_site_fract_x
_atom_site_fract_y
_atom_site_fract_z
_atom_site_occupancy
Zn1 Zn 0.0000 0.2357 0.0000 1
Ga1 Ga 0.0000 0.0000 0.3365 1
Fe1 Fe 0.0000 0.5000 0.3368 1
# ΔH_f (0 K) ... 34 kJ/mol of formula units
# Total moment ... 2.08 μB/f.u.
# Electronic total energy ... -4.1368 eV/atom

=====

# NaTiSn2 (PBE-GGA, relaxed)
data_NaTiSn2
_space_group_name_H-M_alt 'P 4/m m m'
_space_group_IT_number 123
_space_group_name_Hall '-P 4 2'
_cell_length_a 3.0988
_cell_length_b 3.0988
_cell_length_c 9.3919
_cell_angle_alpha 90.00
_cell_angle_beta 90.00
_cell_angle_gamma 90.00
loop_
_atom_site_label
_atom_site_type_symbol
_atom_site_fract_x
_atom_site_fract_y
_atom_site_fract_z
_atom_site_occupancy
Na1 Na 0.0000 0.0000 0.0000 1
Ti1 Ti 0.0000 0.0000 0.5000 1
Sn1 Sn 0.5000 0.5000 0.2761 1
# ΔH_f (0 K) ... -86 kJ/mol of formula units
# Total moment ... 0.00 μB/f.u.
# Electronic total energy ... -4.5289 eV/atom

=====

# Ga2B2F (PBE-GGA, relaxed)
data_Ga2B2F
_space_group_name_H-M_alt 'I 4/m m m'
_space_group_IT_number 139
_space_group_name_Hall '-I 4 2'
_cell_length_a 4.0136
_cell_length_b 4.0136
_cell_length_c 7.4928
_cell_angle_alpha 90.00
_cell_angle_beta 90.00
_cell_angle_gamma 90.00
loop_
_atom_site_label
_atom_site_type_symbol
_atom_site_fract_x
_atom_site_fract_y
_atom_site_fract_z
_atom_site_occupancy
Ga1 Ga 0.0000 0.5000 0.2500 1
B1 B 0.0000 0.0000 0.1056 1
F1 F 0.0000 0.0000 0.5000 1
# E_form (uncorrected) ... 0.053 eV/atom
# Total moment ... 0.00 μB/f.u.
# Electronic total energy ... -4.2026 eV/atom
# Polymorph energy (0 for the lowest one) ... 0.00 kcal/mol of atoms

=====

# Pm3PuB4O12 (PBE-GGA, relaxed)
data_Pm3PuB4O12
_space_group_name_H-M_alt 'R 3 2'
_space_group_IT_number 155
_space_group_name_Hall 'R 3 2"'
_cell_length_a 10.3323
_cell_length_b 10.3323
_cell_length_c 8.8348
_cell_angle_alpha 90.00
_cell_angle_beta 90.00
_cell_angle_gamma 120.00
loop_
_atom_site_label
_atom_site_type_symbol
_atom_site_fract_x
_atom_site_fract_y
_atom_site_fract_z
_atom_site_occupancy
Pm1 Pm 0.0000 0.5261 0.0000 1
Pu1 Pu 0.0000 0.0000 0.0000 1
B1 B 0.0000 0.0000 0.5000 1
B2 B 0.0000 0.4739 0.5000 1
O1 O 0.0000 0.6070 0.5000 1
O2 O 0.0000 0.8665 0.5000 1
O3 O 0.0075 0.1963 0.8332 1
# E_form (uncorrected) ... -2.920 eV/atom
# Total moment ... 5.00 μB/f.u.
# Electronic total energy ... -8.6599 eV/atom